1.
# GGA-PBE Sm2HoTe4, relaxed
data_Sm2HoTe4
_chemical_formula_sum 'Sm2 Ho1 Te4'
_space_group_name_H-M_alt 'P 1'
_space_group_IT_number 1
_cell_length_a 8.480
_cell_length_b 8.480
_cell_length_c 7.706
_cell_angle_alpha 116.60
_cell_angle_beta 116.60
_cell_angle_gamma 30.02
loop_
_space_group_symop_operation_xyz
'x,y,z'
loop_
_atom_site_label
_atom_site_type_symbol
_atom_site_fract_x
_atom_site_fract_y
_atom_site_fract_z
Sm1 Sm 0.242 0.242 0.229
Sm2 Sm 0.758 0.758 0.771
Ho1 Ho 0.500 0.500 0.500
Te1 Te 0.126 0.126 0.467
Te2 Te 0.382 0.382 0.056
Te3 Te 0.618 0.618 0.944
Te4 Te 0.874 0.874 0.533
# SG: C2/m
# Magnetization in Bohr magnetons per cell: 0.00
# Total energy in eV/atom: -5.1895
# Energy relative to the elements, uncorrected in eV per atom: -1.39


2.
# GGA-PBE Sm2Ho2Te5, relaxed
data_Sm2Ho2Te5
_chemical_formula_sum 'Sm2 Ho2 Te5'
_space_group_name_H-M_alt 'P 1'
_space_group_IT_number 1
_cell_length_a 8.857
_cell_length_b 8.857
_cell_length_c 6.224
_cell_angle_alpha 109.97
_cell_angle_beta 109.97
_cell_angle_gamma 38.64
loop_
_space_group_symop_operation_xyz
'x,y,z'
loop_
_atom_site_label
_atom_site_type_symbol
_atom_site_fract_x
_atom_site_fract_y
_atom_site_fract_z
Sm1 Sm 0.100 0.100 0.321
Sm2 Sm 0.900 0.900 0.679
Ho1 Ho 0.325 0.325 0.017
Ho2 Ho 0.675 0.675 0.983
Te1 Te 0.124 0.124 0.845
Te2 Te 0.310 0.310 0.503
Te3 Te 0.500 0.500 0.000
Te4 Te 0.690 0.690 0.497
Te5 Te 0.876 0.876 0.155
# SG: C2/m
# Magnetization in Bohr magnetons per cell: 0.00
# Total energy in eV/atom: -5.0051
# Energy relative to the elements, uncorrected in eV per atom: -1.19


3.
# GGA-PBE Sm2HoTe2, relaxed
data_Sm2HoTe2
_chemical_formula_sum 'Sm2 Ho1 Te2'
_space_group_name_H-M_alt 'P 1'
_space_group_IT_number 1
_cell_length_a 4.764
_cell_length_b 4.764
_cell_length_c 7.225
_cell_angle_alpha 100.07
_cell_angle_beta 100.07
_cell_angle_gamma 78.27
loop_
_space_group_symop_operation_xyz
'x,y,z'
loop_
_atom_site_label
_atom_site_type_symbol
_atom_site_fract_x
_atom_site_fract_y
_atom_site_fract_z
Sm1 Sm 0.247 0.753 0.000
Sm2 Sm 0.753 0.247 0.000
Ho1 Ho 0.000 0.000 0.500
Te1 Te 0.320 0.320 0.302
Te2 Te 0.680 0.680 0.698
# SG: C2/m
# Magnetization in Bohr magnetons per cell: 0.00
# Total energy in eV/atom: -4.7916
# Energy relative to the elements, uncorrected in eV per atom: -0.73


4.
# GGA-PBE SmHo8Te2, relaxed
data_SmHo8Te2
_chemical_formula_sum 'Sm1 Ho8 Te2'
_space_group_name_H-M_alt 'P 1'
_space_group_IT_number 1
_cell_length_a 10.560
_cell_length_b 10.560
_cell_length_c 3.842
_cell_angle_alpha 95.02
_cell_angle_beta 95.02
_cell_angle_gamma 64.32
loop_
_space_group_symop_operation_xyz
'x,y,z'
loop_
_atom_site_label
_atom_site_type_symbol
_atom_site_fract_x
_atom_site_fract_y
_atom_site_fract_z
Sm1 Sm 0.000 0.000 0.000
Ho1 Ho 0.172 0.655 0.221
Ho2 Ho 0.272 0.272 0.141
Ho3 Ho 0.345 0.828 0.779
Ho4 Ho 0.430 0.430 0.720
Ho5 Ho 0.570 0.570 0.280
Ho6 Ho 0.655 0.172 0.221
Ho7 Ho 0.728 0.728 0.859
Ho8 Ho 0.828 0.345 0.779
Te1 Te 0.139 0.139 0.570
Te2 Te 0.861 0.861 0.430
# SG: C2/m
# Magnetization in Bohr magnetons per cell: 0.00
# Total energy in eV/atom: -4.4818
# Energy relative to the elements, uncorrected in eV per atom: -0.15


5.
# GGA-PBE Sm3HoTe, relaxed
data_Sm3HoTe
_chemical_formula_sum 'Sm6 Ho2 Te2'
_space_group_name_H-M_alt 'P 1'
_space_group_IT_number 1
_cell_length_a 6.756
_cell_length_b 6.756
_cell_length_c 9.308
_cell_angle_alpha 95.68
_cell_angle_beta 95.68
_cell_angle_gamma 51.64
loop_
_space_group_symop_operation_xyz
'x,y,z'
loop_
_atom_site_label
_atom_site_type_symbol
_atom_site_fract_x
_atom_site_fract_y
_atom_site_fract_z
Sm1 Sm 0.057 0.057 0.345
Sm2 Sm 0.141 0.141 0.957
Sm3 Sm 0.370 0.370 0.369
Sm4 Sm 0.630 0.630 0.631
Sm5 Sm 0.859 0.859 0.043
Sm6 Sm 0.943 0.943 0.655
Ho1 Ho 0.425 0.425 0.844
Ho2 Ho 0.575 0.575 0.156
Te1 Te 0.214 0.214 0.635
Te2 Te 0.786 0.786 0.365
# SG: C2/m
# Magnetization in Bohr magnetons per cell: 0.00
# Total energy in eV/atom: -4.7363
# Energy relative to the elements, uncorrected in eV per atom: -0.36


6.
# GGA-PBE Sm2HoTe4, relaxed
data_Sm2HoTe4
_chemical_formula_sum 'Sm4 Ho2 Te8'
_space_group_name_H-M_alt 'P 1'
_space_group_IT_number 1
_cell_length_a 7.596
_cell_length_b 7.596
_cell_length_c 15.159
_cell_angle_alpha 90.00
_cell_angle_beta 90.00
_cell_angle_gamma 147.43
loop_
_space_group_symop_operation_xyz
'x,y,z'
loop_
_atom_site_label
_atom_site_type_symbol
_atom_site_fract_x
_atom_site_fract_y
_atom_site_fract_z
Sm1 Sm 0.132 0.868 0.570
Sm2 Sm 0.132 0.868 0.930
Sm3 Sm 0.868 0.132 0.070
Sm4 Sm 0.868 0.132 0.430
Ho1 Ho 0.372 0.628 0.750
Ho2 Ho 0.628 0.372 0.250
Te1 Te 0.026 0.974 0.750
Te2 Te 0.218 0.782 0.125
Te3 Te 0.218 0.782 0.375
Te4 Te 0.500 0.500 0.000
Te5 Te 0.500 0.500 0.500
Te6 Te 0.782 0.218 0.625
Te7 Te 0.782 0.218 0.875
Te8 Te 0.974 0.026 0.250
# SG: Cmcm
# Magnetization in Bohr magnetons per cell: 0.00
# Total energy in eV/atom: -5.1509
# Energy relative to the elements, uncorrected in eV per atom: -1.35


7.
# GGA-PBE Sm2HoTe, relaxed
data_Sm2HoTe
_chemical_formula_sum 'Sm2 Ho1 Te1'
_space_group_name_H-M_alt 'P 1'
_space_group_IT_number 1
_cell_length_a 10.077
_cell_length_b 10.077
_cell_length_c 10.077
_cell_angle_alpha 22.63
_cell_angle_beta 22.63
_cell_angle_gamma 22.63
loop_
_space_group_symop_operation_xyz
'x,y,z'
loop_
_atom_site_label
_atom_site_type_symbol
_atom_site_fract_x
_atom_site_fract_y
_atom_site_fract_z
Sm1 Sm 0.000 0.000 0.000
Sm2 Sm 0.188 0.188 0.188
Ho1 Ho 0.761 0.761 0.761
Te1 Te 0.594 0.594 0.594
# SG: R3m
# Magnetization in Bohr magnetons per cell: 0.18
# Total energy in eV/atom: -4.8294
# Energy relative to the elements, uncorrected in eV per atom: -0.54


8.
# GGA-PBE Sm3Ho2Te5, relaxed
data_Sm3Ho2Te5
_chemical_formula_sum 'Sm3 Ho2 Te5'
_space_group_name_H-M_alt 'P 1'
_space_group_IT_number 1
_cell_length_a 7.637
_cell_length_b 7.637
_cell_length_c 10.772
_cell_angle_alpha 118.19
_cell_angle_beta 118.19
_cell_angle_gamma 33.45
loop_
_space_group_symop_operation_xyz
'x,y,z'
loop_
_atom_site_label
_atom_site_type_symbol
_atom_site_fract_x
_atom_site_fract_y
_atom_site_fract_z
Sm1 Sm 0.000 0.000 0.000
Sm2 Sm 0.206 0.206 0.805
Sm3 Sm 0.794 0.794 0.195
Ho1 Ho 0.403 0.403 0.599
Ho2 Ho 0.597 0.597 0.401
Te1 Te 0.000 0.000 0.500
Te2 Te 0.199 0.199 0.309
Te3 Te 0.403 0.403 0.107
Te4 Te 0.597 0.597 0.893
Te5 Te 0.801 0.801 0.691
# SG: C2/m
# Magnetization in Bohr magnetons per cell: 0.00
# Total energy in eV/atom: -5.2338
# Energy relative to the elements, uncorrected in eV per atom: -1.33


9.
# GGA-PBE SmHo3Te2, relaxed
data_SmHo3Te2
_chemical_formula_sum 'Sm2 Ho6 Te4'
_space_group_name_H-M_alt 'P 1'
_space_group_IT_number 1
_cell_length_a 8.460
_cell_length_b 8.460
_cell_length_c 11.345
_cell_angle_alpha 108.87
_cell_angle_beta 108.87
_cell_angle_gamma 28.15
loop_
_space_group_symop_operation_xyz
'x,y,z'
loop_
_atom_site_label
_atom_site_type_symbol
_atom_site_fract_x
_atom_site_fract_y
_atom_site_fract_z
Sm1 Sm 0.119 0.119 0.043
Sm2 Sm 0.881 0.881 0.957
Ho1 Ho 0.061 0.061 0.405
Ho2 Ho 0.283 0.283 0.623
Ho3 Ho 0.377 0.377 0.333
Ho4 Ho 0.623 0.623 0.667
Ho5 Ho 0.717 0.717 0.377
Ho6 Ho 0.939 0.939 0.595
Te1 Te 0.230 0.230 0.858
Te2 Te 0.483 0.483 0.829
Te3 Te 0.517 0.517 0.171
Te4 Te 0.770 0.770 0.142
# SG: C2/m
# Magnetization in Bohr magnetons per cell: 0.00
# Total energy in eV/atom: -4.9573
# Energy relative to the elements, uncorrected in eV per atom: -0.83


10.
# GGA-PBE Sm3HoTe3, relaxed
data_Sm3HoTe3
_chemical_formula_sum 'Sm6 Ho2 Te6'
_space_group_name_H-M_alt 'P 1'
_space_group_IT_number 1
_cell_length_a 8.005
_cell_length_b 8.005
_cell_length_c 8.005
_cell_angle_alpha 69.05
_cell_angle_beta 69.05
_cell_angle_gamma 69.05
loop_
_space_group_symop_operation_xyz
'x,y,z'
loop_
_atom_site_label
_atom_site_type_symbol
_atom_site_fract_x
_atom_site_fract_y
_atom_site_fract_z
Sm1 Sm 0.162 0.420 0.661
Sm2 Sm 0.339 0.838 0.580
Sm3 Sm 0.420 0.661 0.162
Sm4 Sm 0.580 0.339 0.838
Sm5 Sm 0.661 0.162 0.420
Sm6 Sm 0.838 0.580 0.339
Ho1 Ho 0.184 0.184 0.184
Ho2 Ho 0.816 0.816 0.816
Te1 Te 0.034 0.821 0.404
Te2 Te 0.179 0.596 0.966
Te3 Te 0.404 0.034 0.821
Te4 Te 0.596 0.966 0.179
Te5 Te 0.821 0.404 0.034
Te6 Te 0.966 0.179 0.596
# SG: R-3
# Magnetization in Bohr magnetons per cell: 0.00
# Total energy in eV/atom: -5.0794
# Energy relative to the elements, uncorrected in eV per atom: -1.06


Result set for volume: 35.1; 31.6; 31.3; 34.9; 33.1; 33.6; 33.2; 30.1; 30.1; 30.8 Å³/atom, one per record in the order listed.